(1)
# Rb2Sm2TeO6, optimized geometry, DFT PBE
data_Rb2Sm2TeO6
_chemical_formula_sum 'Rb4 Sm4 Te2 O12'
_cell_length_a 6.122
_cell_length_b 10.549
_cell_length_c 6.976
_cell_angle_alpha 90.00
_cell_angle_beta 105.92
_cell_angle_gamma 90.00
_symmetry_space_group_name_H-M 'C 1 2/m 1'
_symmetry_Int_Tables_number 12
loop_
_symmetry_equiv_pos_as_xyz
'x,y,z'
'-x,-y,-z'
'-x,y,-z'
'x,-y,z'
'x+1/2,y+1/2,z'
'-x+1/2,-y+1/2,-z'
'-x+1/2,y+1/2,-z'
'x+1/2,-y+1/2,z'
loop_
_atom_site_label
_atom_site_fract_x
_atom_site_fract_y
_atom_site_fract_z
_atom_site_occupancy
Rb1 0.000 0.164 0.000 1
Sm1 0.000 0.335 0.500 1
Te1 0.000 0.000 0.500 1
O1 0.210 0.162 0.668 1
O2 0.242 0.500 0.669 1
# Crystal system = monoclinic
# Calculated total energy = -6.2061 eV/atom
# Spin magnetization = 0.000 μB per atom
# Density of states at the Fermi level = 0.000 states/eV per atom
# Uncorrected formation energy = -2182 meV/atom

(2)
# RbSmTeO4, optimized geometry, DFT PBE
data_RbSmTeO4
_chemical_formula_sum 'Rb2 Sm2 Te2 O8'
_cell_length_a 5.962
_cell_length_b 6.167
_cell_length_c 8.155
_cell_angle_alpha 90.00
_cell_angle_beta 107.38
_cell_angle_gamma 90.00
_symmetry_space_group_name_H-M 'P 1 21/m 1'
_symmetry_Int_Tables_number 11
loop_
_symmetry_equiv_pos_as_xyz
'x,y,z'
'-x,-y,-z'
'-x,y+1/2,-z'
'x,-y+1/2,z'
loop_
_atom_site_label
_atom_site_fract_x
_atom_site_fract_y
_atom_site_fract_z
_atom_site_occupancy
Rb1 0.089 0.250 0.142 1
Sm1 0.173 0.750 0.464 1
Te1 0.407 0.250 0.742 1
O1 0.164 0.012 0.669 1
O2 0.234 0.750 0.198 1
O3 0.420 0.250 0.507 1
# Crystal system = monoclinic
# Calculated total energy = -6.1126 eV/atom
# Spin magnetization = 0.000 μB per atom
# Density of states at the Fermi level = 0.000 states/eV per atom
# Uncorrected formation energy = -2018 meV/atom